1.
Density functional theory data (GGA-PBE) for a relaxed structure of Y2ErTm2Mg5.

Lattice parameters (Å, degrees): 10.5508 10.5508 5.0155 90.00 90.00 90.00
Last column: nearest neighbours and their distance in Å.
Element x y z (fractional)
Y1 0.1784 0.3216 0.0000  3 Tm 3.04-3.19
Y2 0.3216 0.8216 0.0000  3 Tm 3.04-3.19
Y3 0.6784 0.1784 0.0000  3 Tm 3.04-3.19
Y4 0.8216 0.6784 0.0000  3 Tm 3.04-3.19
Er1 0.0000 0.0000 0.0000  8 Mg 3.34
Er2 0.5000 0.5000 0.0000  8 Mg 3.34
Tm1 0.1178 0.6178 0.0000  3 Y 3.04-3.19, 6 Mg 3.06-3.21
Tm2 0.3822 0.1178 0.0000  3 Y 3.04-3.19, 6 Mg 3.06-3.21
Tm3 0.6178 0.8822 0.0000  3 Y 3.04-3.19, 6 Mg 3.06-3.21
Tm4 0.8822 0.3822 0.0000  3 Y 3.04-3.19, 6 Mg 3.06-3.21
Mg1 0.0000 0.5000 0.5000  4 Tm 3.06, 4 Mg 3.27
Mg2 0.0688 0.8019 0.5000  4 Mg 3.13-3.48, 2 Tm 3.21, 2 Er 3.34
Mg3 0.1981 0.0688 0.5000  4 Mg 3.13-3.48, 2 Tm 3.21, 2 Er 3.34
Mg4 0.3019 0.5688 0.5000  4 Mg 3.13-3.48, 2 Tm 3.21, 2 Er 3.34
Mg5 0.4312 0.3019 0.5000  4 Mg 3.13-3.48, 2 Tm 3.21, 2 Er 3.34
Mg6 0.5000 0.0000 0.5000  4 Tm 3.06, 4 Mg 3.27
Mg7 0.5688 0.6981 0.5000  4 Mg 3.13-3.48, 2 Tm 3.21, 2 Er 3.34
Mg8 0.6981 0.4312 0.5000  4 Mg 3.13-3.48, 2 Tm 3.21, 2 Er 3.34
Mg9 0.8019 0.9312 0.5000  4 Mg 3.13-3.48, 2 Tm 3.21, 2 Er 3.34
Mg10 0.9312 0.1981 0.5000  4 Mg 3.13-3.48, 2 Tm 3.21, 2 Er 3.34

Results
Crystal system: tetragonal
Symmetry: P4/mbm

2.
Density functional theory data (GGA-PBE) for a relaxed structure of Li2ScSb.

Lattice parameters (Å, degrees): 3.2694 4.4043 6.1183 90.00 105.38 90.00
Last column: nearest neighbours and their distance in Å.
Element x y z (fractional)
Li1 0.0000 0.0000 0.0000  2 Sb 2.76, 4 Li 2.91-2.92, 1 Sc 3.02
Li2 0.4139 0.5000 0.8309  4 Li 2.91-2.92, 3 Sb 3.12-3.24
Sc1 0.7412 0.0000 0.4873  4 Sb 3.00, 3 Li 3.02-3.31, 2 Sc 3.27
Sb1 0.1392 0.5000 0.2823  2 Li 2.76, 4 Sc 3.00

Results
Crystal system: monoclinic
Formation energy (no corrections): -35 kJ/mol of atoms
Symmetry: Pm

3.
Density functional theory data (GGA-PBE) for a relaxed structure of Y2Al.

Lattice parameters (Å, degrees): 6.2003 6.2003 6.2003 60.00 60.00 60.00
Last column: nearest neighbours and their distance in Å.
Element x y z (fractional)
Y1 0.0000 0.0000 0.0000  6 Y 3.10
Y2 0.0000 0.0000 0.5000  6 Y 3.10
Y3 0.0000 0.5000 0.0000  6 Y 3.10
Y4 0.5000 0.0000 0.0000  6 Y 3.10
Al1 0.3750 0.3750 0.3750  12 Y 3.64, 4 Al 3.80
Al2 0.6250 0.6250 0.6250  12 Y 3.64, 4 Al 3.80

Results
Crystal system: cubic
Symmetry: Fd-3m

4.
Density functional theory data (GGA-PBE) for a relaxed structure of Th8CoNi2.

Lattice parameters (Å, degrees): 7.4174 7.4174 6.1768 102.91 102.91 106.40
Last column: nearest neighbours and their distance in Å.
Element x y z (fractional)
Th1 0.0000 0.0000 0.0000  2 Ni 2.86
Th2 0.0136 0.2890 0.5608  2 Ni 2.78-2.94, 1 Co 2.89
Th3 0.2051 0.5477 0.2044  1 Co 2.62
Th4 0.2890 0.0136 0.5608  2 Ni 2.78-2.94, 1 Co 2.89
Th5 0.4560 0.7354 0.8390  2 Ni 2.78-2.97, 1 Co 2.83
Th6 0.5477 0.2051 0.2044  1 Co 2.62
Th7 0.7354 0.4560 0.8390  2 Ni 2.78-2.97, 1 Co 2.83
Th8 0.7473 0.7473 0.3861  2 Ni 2.85
Co1 0.3686 0.3686 0.9325  6 Th 2.62-2.89
Ni1 0.0584 0.6865 0.6930  6 Th 2.78-2.97
Ni2 0.6865 0.0584 0.6930  6 Th 2.78-2.97

Results
Crystal system: monoclinic
Symmetry: Cm

5.
Density functional theory data (GGA-PBE) for a relaxed structure of ScZn2IrO.

Lattice parameters (Å, degrees): 5.0462 5.0462 3.6885 90.00 90.00 90.00
Last column: nearest neighbours and their distance in Å.
Element x y z (fractional)
Sc1 0.0000 0.0000 0.0000  8 Zn 3.13
Zn1 0.0000 0.5000 0.5000  2 Ir 2.52
Zn2 0.5000 0.0000 0.5000  2 Ir 2.52
Ir1 0.5000 0.5000 0.5000  2 O 1.84
O1 0.5000 0.5000 0.0000  2 Ir 1.84

Results
Crystal system: tetragonal
Formation energy (no corrections): -1 kJ/mol of atoms
Symmetry: P4/mmm

6.
Density functional theory data (GGA-PBE) for a relaxed structure of LiSnPb2.

Lattice parameters (Å, degrees): 3.8535 3.8535 7.2087 90.00 90.00 90.00
Last column: nearest neighbours and their distance in Å.
Element x y z (fractional)
Li1 0.0000 0.0000 0.0000  8 Pb 3.20
Sn1 0.0000 0.0000 0.5000  8 Pb 3.33, 2 Li 3.60
Pb1 0.5000 0.5000 0.2337  4 Li 3.20, 4 Sn 3.33, 1 Pb 3.37
Pb2 0.5000 0.5000 0.7663  4 Li 3.20, 4 Sn 3.33, 1 Pb 3.37

Results
Crystal system: tetragonal
Symmetry: P4/mmm

What are the final energy values for these records? In order: -3.3616 -3.9349 -5.1612 -7.1293 -4.5510 -3.4122 eV per atom.
What are the M_tot values for these records? In order: 0.000 0.000 0.000 0.000 0.000 0.000 μB per atom.